# ErGeSe4

A relaxed ErGeSe4 crystal (PBE-GGA, Alexandria).

Properties
**E_form (uncorrected)**: -428 kJ/mol of formula units

abc: 5.847 9.237 6.786
angles: 90.00 111.68 90.00
Space group P2_1/m (No. 11)
Inequivalent atoms, fractional coordinates:
Er: 0.109 0.250 0.156 x2
Ge: 0.302 0.750 0.438 x2
Se: 0.034 0.565 0.215 x4
Se: 0.317 0.250 0.608 x2
Se: 0.387 0.750 0.811 x2